Entry 1:
Density functional theory data (PBE) for a relaxed structure of Ac3Ge6PdPt2.

abc: 6.3138 6.3138 8.2768
angles: 90.00 90.00 120.00
Fractional coordinates of all 12 atoms:
Ac: 0.6667 0.3333 0.3188
Ac: 0.0000 0.0000 0.0000
Ac: 0.3333 0.6667 0.6812
Ge: 0.1951 0.8049 0.3110
Ge: 0.6099 0.8049 0.3110
Ge: 0.1951 0.3901 0.3110
Ge: 0.3901 0.1951 0.6890
Ge: 0.8049 0.6099 0.6890
Ge: 0.8049 0.1951 0.6890
Pt: 0.6667 0.3333 0.9515
Pt: 0.3333 0.6667 0.0485
Pd: 0.0000 0.0000 0.5000

Output
Energy, eV/f.u.: -62.767
Energy of formation, meV per atom: -455

---

Entry 2:
Density functional theory data (PBE) for a relaxed structure of Ac3Mg2Ga4Rh2.

abc: 4.4444 4.4444 16.5600
angles: 90.00 90.00 120.00
Fractional coordinates of all 11 atoms:
Mg: 0.6667 0.3333 0.4444
Mg: 0.3333 0.6667 0.5556
Ga: 0.6667 0.3333 0.1304
Ga: 0.6667 0.3333 0.6179
Ga: 0.3333 0.6667 0.3821
Ga: 0.3333 0.6667 0.8696
Rh: 0.3333 0.6667 0.1270
Rh: 0.6667 0.3333 0.8730
Ac: 0.0000 0.0000 0.2573
Ac: 0.0000 0.0000 0.0000
Ac: 0.0000 0.0000 0.7427

Output
Energy, eV/f.u.: -47.532
Energy of formation, meV per atom: -473

---

Entry 3:
Density functional theory data (PBE) for a relaxed structure of TlCdFe2.

abc: 2.9160 2.9160 8.1103
angles: 90.00 90.00 89.97
Fractional coordinates of all 4 atoms:
Fe: 0.0000 0.0000 0.5060
Fe: 0.0000 0.0000 0.9940
Cd: 0.5000 0.5000 0.7500
Tl: 0.5000 0.5000 0.2500

Output
Energy, eV/f.u.: -17.997
Energy of formation, meV per atom: 552